This record from Alexandria describes NaUSeS after structural relaxation. The functional is PBE.

a b c (Å): 3.984 3.984 7.565
angles (deg): 90.01 105.26 120.00
Last column: magnetic moment on the atom in μB.
Positions (direct):
S 0.123 0.960 0.098  -0.06
Se 0.483 0.140 0.638  -0.06
U 0.312 0.554 0.882  2.66
Na 0.959 0.378 0.352  0.00

Its total moment is 3.00 Bohr magnetons per cell. As for the raw formation energy: -1240 meV per atom. For the final energy, the calculation gives -25.180 eV per cell.